1.
Compound: Ag2PbAu
Source: Alexandria
Functional: GGA-PBEsol
Structure: optimized geometry

```
data_Ag2PbAu
_chemical_formula_sum 'Ag2 Pb1 Au1'
_symmetry_space_group_name_H-M 'P 4/m m m'
_symmetry_Int_Tables_number 123
_symmetry_space_group_name_Hall '-P 4 2'
_cell_length_a 3.329
_cell_length_b 3.329
_cell_length_c 7.060
_cell_angle_alpha 90.00
_cell_angle_beta 90.00
_cell_angle_gamma 90.00
loop_
_atom_site_label
_atom_site_type_symbol
_atom_site_fract_x
_atom_site_fract_y
_atom_site_fract_z
Ag1 Ag 0.000 0.000 0.214
Pb1 Pb 0.500 0.500 0.500
Au1 Au 0.500 0.500 0.000
```



2.
Compound: AgPb2Au
Source: Alexandria
Functional: GGA-PBEsol
Structure: optimized geometry

Calculated values
- distance to the lowest polymorph of the same formula (meV per atom) = 0.0

```
data_AgPb2Au
_chemical_formula_sum 'Ag1 Pb2 Au1'
_symmetry_space_group_name_H-M 'P 1 m 1'
_symmetry_Int_Tables_number 6
_cell_length_a 3.776
_cell_length_b 4.475
_cell_length_c 5.738
_cell_angle_alpha 90.00
_cell_angle_beta 108.21
_cell_angle_gamma 90.00
loop_
_symmetry_equiv_pos_as_xyz
'x,y,z'
'x,-y,z'
loop_
_atom_site_label
_atom_site_type_symbol
_atom_site_fract_x
_atom_site_fract_y
_atom_site_fract_z
Ag1 Ag 0.000 0.000 0.000
Pb1 Pb 0.435 0.500 0.865
Pb2 Pb 0.722 0.000 0.456
Au1 Au 0.155 0.500 0.318
```



3.
Compound: AgPbAu
Source: Alexandria
Functional: GGA-PBEsol
Structure: optimized geometry

Calculated values
- distance to the lowest polymorph of the same formula (meV per atom) = 7.8

```
data_AgPbAu
_chemical_formula_sum 'Ag4 Pb4 Au4'
_symmetry_space_group_name_H-M 'F -4 3 m'
_symmetry_Int_Tables_number 216
_symmetry_space_group_name_Hall 'F -4 2 3'
_cell_length_a 6.522
_cell_length_b 6.522
_cell_length_c 6.522
_cell_angle_alpha 90.00
_cell_angle_beta 90.00
_cell_angle_gamma 90.00
loop_
_atom_site_label
_atom_site_type_symbol
_atom_site_fract_x
_atom_site_fract_y
_atom_site_fract_z
Ag1 Ag 0.000 0.000 0.000
Pb1 Pb 0.000 0.000 0.500
Au1 Au 0.250 0.250 0.750
```



4.
Compound: AgPb2Au
Source: Alexandria
Functional: GGA-PBEsol
Structure: optimized geometry

Calculated values
- distance to the lowest polymorph of the same formula (meV per atom) = 66.2

```
data_AgPb2Au
_chemical_formula_sum 'Ag2 Pb4 Au2'
_symmetry_space_group_name_H-M 'I m m 2'
_symmetry_Int_Tables_number 44
_cell_length_a 3.377
_cell_length_b 5.142
_cell_length_c 10.479
_cell_angle_alpha 90.00
_cell_angle_beta 90.00
_cell_angle_gamma 90.00
loop_
_symmetry_equiv_pos_as_xyz
'x,y,z'
'-x,-y,z'
'-x,y,z'
'x,-y,z'
'x+1/2,y+1/2,z+1/2'
'-x+1/2,-y+1/2,z+1/2'
'-x+1/2,y+1/2,z+1/2'
'x+1/2,-y+1/2,z+1/2'
loop_
_atom_site_label
_atom_site_type_symbol
_atom_site_fract_x
_atom_site_fract_y
_atom_site_fract_z
Ag1 Ag 0.000 0.000 0.000
Pb1 Pb 0.000 0.000 0.460
Pb2 Pb 0.000 0.500 0.246
Au1 Au 0.000 0.500 0.713
```



5.
Compound: Ag2PbAu
Source: Alexandria
Functional: GGA-PBEsol
Structure: optimized geometry

```
data_Ag2PbAu
_chemical_formula_sum 'Ag4 Pb2 Au2'
_symmetry_space_group_name_H-M 'C m m m'
_symmetry_Int_Tables_number 65
_symmetry_space_group_name_Hall '-C 2 2'
_cell_length_a 5.934
_cell_length_b 8.403
_cell_length_c 3.087
_cell_angle_alpha 90.00
_cell_angle_beta 90.00
_cell_angle_gamma 90.00
loop_
_atom_site_label
_atom_site_type_symbol
_atom_site_fract_x
_atom_site_fract_y
_atom_site_fract_z
Ag1 Ag 0.250 0.250 0.000
Pb1 Pb 0.000 0.000 0.500
Au1 Au 0.000 0.500 0.500
```



6.
Compound: AgPb2Au
Source: Alexandria
Functional: GGA-PBEsol
Structure: optimized geometry

Calculated values
- distance to the lowest polymorph of the same formula (meV per atom) = 108.8

```
data_AgPb2Au
_chemical_formula_sum 'Ag3 Pb6 Au3'
_symmetry_space_group_name_H-M 'R -3 m'
_symmetry_Int_Tables_number 166
_symmetry_space_group_name_Hall '-R 3 2"'
_cell_length_a 3.5356
_cell_length_b 3.5356
_cell_length_c 25.8735
_cell_angle_alpha 90.00
_cell_angle_beta 90.00
_cell_angle_gamma 120.00
loop_
_atom_site_label
_atom_site_type_symbol
_atom_site_fract_x
_atom_site_fract_y
_atom_site_fract_z
Ag1 Ag 0.0000 0.0000 0.0000
Pb1 Pb 0.0000 0.0000 0.2482
Au1 Au 0.0000 0.0000 0.5000
```



no.,E_tot (eV/atom)
1,-3.59
2,-3.81
3,-3.69
4,-3.75
5,-3.53
6,-3.70